# GGA-PBE DyTiAlZn, optimized geometry
data_DyTiAlZn
_chemical_formula_sum 'Dy4 Ti4 Al4 Zn4'
_space_group_name_H-M_alt 'F -4 3 m'
_space_group_IT_number 216
_space_group_name_Hall 'F -4 2 3'
_cell_length_a 6.7575
_cell_length_b 6.7575
_cell_length_c 6.7575
_cell_angle_alpha 90.00
_cell_angle_beta 90.00
_cell_angle_gamma 90.00
loop_
_atom_site_label
_atom_site_type_symbol
_atom_site_fract_x
_atom_site_fract_y
_atom_site_fract_z
Dy1 Dy 0.0000 0.0000 0.0000
Ti1 Ti 0.0000 0.0000 0.5000
Al1 Al 0.2500 0.2500 0.2500
Zn1 Zn 0.2500 0.2500 0.7500
# - E_form: -20.9 kJ per mole of atoms
# - V: 19.3 Å³ per atom
# - Raw total energy: -4.5954 eV/atom